[1]
First-principles (PBE) data for an optimized crystal structure of TaCu2Sn, as listed in Alexandria via LeMat-Bulk.

Computed properties:
The volume is 63.8 Å³/cell. The formation energy comes out at 0.3 eV/f.u.

abc: 3.9441 4.0225 4.0225
angles: 90.00 90.00 90.00
Fractional coordinates of all 4 atoms:
Ta 0.5000 0.5000 0.5000
Cu 0.0000 0.0000 0.5000
Cu 0.0000 0.5000 0.0000
Sn 0.5000 0.0000 0.0000

[2]
First-principles (PBE) data for an optimized crystal structure of TaCu2SnW, as listed in Alexandria via LeMat-Bulk.

Computed properties:
The volume is 107.8 Å³/cell. The formation energy comes out at 8.7 eV/f.u.

abc: 4.6203 5.0521 4.6203
angles: 90.00 90.00 90.00
Last column: magnetic moment on the atom in μB.
Fractional coordinates of all 5 atoms:
Sn 0.0000 0.5000 0.0000  -0.02
Cu 0.0000 0.0000 0.5000  -0.03
Cu 0.5000 0.0000 0.0000  -0.01
Ta 0.5000 0.5000 0.5000  1.04
W 0.0000 0.0000 0.0000  0.01

[3]
First-principles (PBE) data for an optimized crystal structure of Tb12Cu6Sn, as listed in Alexandria via LeMat-Bulk.

Computed properties:
The volume is 486.8 Å³/cell. The formation energy comes out at -4.3 eV/f.u.

abc: 8.5832 8.5832 8.5832
angles: 109.47 109.47 109.47
Fractional coordinates of all 19 atoms:
Tb 0.2993 0.4876 0.1883
Tb 0.8117 0.7007 0.5124
Tb 0.7007 0.5124 0.8117
Tb 0.2993 0.1110 0.8117
Tb 0.1883 0.2993 0.4876
Tb 0.8890 0.1883 0.7007
Tb 0.8117 0.2993 0.1110
Tb 0.1110 0.8117 0.2993
Tb 0.5124 0.8117 0.7007
Tb 0.1883 0.7007 0.8890
Tb 0.7007 0.8890 0.1883
Tb 0.4876 0.1883 0.2993
Cu 0.1236 0.6236 0.5000
Cu 0.5000 0.1236 0.6236
Cu 0.8764 0.3764 0.5000
Cu 0.5000 0.8764 0.3764
Cu 0.3764 0.5000 0.8764
Cu 0.6236 0.5000 0.1236
Sn 0.0000 0.0000 0.0000

[4]
First-principles (PBE) data for an optimized crystal structure of Tb4CuSn8, as listed in Alexandria via LeMat-Bulk.

Computed properties:
The volume is 333.6 Å³/cell. The formation energy comes out at -7.1 eV/f.u.

abc: 4.3736 4.4295 17.2216
angles: 90.00 90.00 90.00
Fractional coordinates of all 13 atoms:
Tb 0.5000 0.5000 0.3951
Tb 0.5000 0.0000 0.8960
Tb 0.0000 0.0000 0.0904
Tb 0.0000 0.5000 0.6073
Cu 0.0000 0.0000 0.3201
Sn 0.5000 0.0000 0.2322
Sn 0.0000 0.5000 0.9297
Sn 0.0000 0.5000 0.2345
Sn 0.5000 0.5000 0.0484
Sn 0.0000 0.0000 0.4651
Sn 0.5000 0.5000 0.7546
Sn 0.5000 0.0000 0.5795
Sn 0.0000 0.0000 0.7501

[5]
First-principles (PBE) data for an optimized crystal structure of Tb2CuSn, as listed in Alexandria via LeMat-Bulk.

Computed properties:
The volume is 111.2 Å³/cell. The formation energy comes out at 0.4 eV/f.u.

abc: 3.5130 3.5130 10.6044
angles: 80.47 80.47 60.00
Fractional coordinates of all 4 atoms:
Tb 0.8994 0.8994 0.3019
Tb 0.1006 0.1006 0.6981
Cu 0.5000 0.5000 0.5000
Sn 0.0000 0.0000 0.0000

[6]
First-principles (PBE) data for an optimized crystal structure of TbCuSn2, as listed in Alexandria via LeMat-Bulk.

Computed properties:
The volume is 89.8 Å³/cell. The formation energy comes out at -1.5 eV/f.u.

abc: 4.3849 4.5251 4.5251
angles: 90.00 90.00 90.00
Fractional coordinates of all 4 atoms:
Sn 0.0000 0.5000 0.0000
Sn 0.0000 0.0000 0.5000
Tb 0.5000 0.0000 0.0000
Cu 0.5000 0.5000 0.5000

[7]
First-principles (PBE) data for an optimized crystal structure of TbCu6Sn6, as listed in Alexandria via LeMat-Bulk.

Computed properties:
The volume is 246.7 Å³/cell. The formation energy comes out at -1.1 eV/f.u.

abc: 5.5932 7.2154 7.2154
angles: 77.51 67.20 67.20
Fractional coordinates of all 13 atoms:
Sn 0.3328 0.6672 0.6672
Sn 0.0000 0.3391 0.6609
Sn 0.6672 0.3328 0.3328
Sn 0.0000 0.6609 0.3391
Sn 0.6646 0.8354 0.8354
Sn 0.3354 0.1646 0.1646
Cu 0.0000 0.0000 0.5000
Cu 0.0000 0.5000 0.0000
Cu 0.5000 0.5000 0.0000
Cu 0.5000 0.2500 0.7500
Cu 0.5000 0.7500 0.2500
Cu 0.5000 0.0000 0.5000
Tb 0.0000 0.0000 0.0000

[8]
First-principles (PBE) data for an optimized crystal structure of Tb2CuSn, as listed in Alexandria via LeMat-Bulk.

Computed properties:
The volume is 95.6 Å³/cell. The formation energy comes out at -1.7 eV/f.u.

abc: 3.4944 3.4944 7.8252
angles: 90.00 90.00 90.00
Fractional coordinates of all 4 atoms:
Sn 0.5000 0.5000 0.5000
Cu 0.5000 0.5000 0.0000
Tb 0.0000 0.0000 0.7740
Tb 0.0000 0.0000 0.2260

[9]
First-principles (PBE) data for an optimized crystal structure of Tb3Cu3Sn4, as listed in Alexandria via LeMat-Bulk.

Computed properties:
The volume is 447.3 Å³/cell. The formation energy comes out at -5.1 eV/f.u.

abc: 8.3448 8.3448 8.3448
angles: 109.47 109.47 109.47
Fractional coordinates of all 20 atoms:
Sn 0.0000 0.0000 0.3447
Sn 0.6553 0.1553 0.1553
Sn 0.5000 0.3447 0.5000
Sn 0.8447 0.5000 0.0000
Sn 0.5000 0.8447 0.5000
Sn 0.0000 0.0000 0.8447
Sn 0.1553 0.6553 0.6553
Sn 0.3447 0.5000 0.0000
Cu 0.6250 0.8750 0.2500
Cu 0.7500 0.1250 0.8750
Cu 0.3750 0.2500 0.1250
Cu 0.2500 0.3750 0.6250
Cu 0.1250 0.7500 0.3750
Cu 0.8750 0.6250 0.7500
Tb 0.1250 0.3750 0.2500
Tb 0.3750 0.1250 0.7500
Tb 0.8750 0.2500 0.6250
Tb 0.2500 0.8750 0.1250
Tb 0.7500 0.6250 0.3750
Tb 0.6250 0.7500 0.8750

[10]
First-principles (PBE) data for an optimized crystal structure of TbCu5Sn, as listed in Alexandria via LeMat-Bulk.

Computed properties:
The volume is 439.0 Å³/cell. The formation energy comes out at -1.9 eV/f.u.

abc: 5.0160 8.2595 10.5972
angles: 90.00 90.00 90.00
Fractional coordinates of all 28 atoms:
Cu 0.4990 0.9316 0.3123
Cu 0.9990 0.5684 0.8123
Cu 0.0010 0.9316 0.3123
Cu 0.7500 0.1837 0.2576
Cu 0.2500 0.8163 0.7424
Cu 0.0010 0.4316 0.1877
Cu 0.7500 0.0838 0.4832
Cu 0.2500 0.3163 0.7576
Cu 0.7500 0.9412 0.1016
Cu 0.5010 0.5684 0.8123
Cu 0.2500 0.9162 0.5168
Cu 0.2500 0.5588 0.6016
Cu 0.2500 0.4162 0.9832
Cu 0.9990 0.0684 0.6877
Cu 0.7500 0.6837 0.2424
Cu 0.2500 0.0588 0.8984
Cu 0.7500 0.4412 0.3984
Cu 0.7500 0.5838 0.0168
Cu 0.5010 0.0684 0.6877
Cu 0.4990 0.4316 0.1877
Sn 0.2500 0.6387 0.3603
Sn 0.2500 0.1387 0.1397
Sn 0.7500 0.3613 0.6397
Sn 0.7500 0.8613 0.8603
Tb 0.7500 0.2491 0.9387
Tb 0.2500 0.2509 0.4387
Tb 0.7500 0.7491 0.5613
Tb 0.2500 0.7509 0.0613

[11]
First-principles (PBE) data for an optimized crystal structure of Tb3CuSn, as listed in Alexandria via LeMat-Bulk.

Computed properties:
The volume is 268.4 Å³/cell. The formation energy comes out at -1.8 eV/f.u.

abc: 3.6853 8.4893 8.7975
angles: 92.45 90.03 102.55
Last column: magnetic moment on the atom in μB.
Fractional coordinates of all 10 atoms:
Tb 0.7641 0.5616 0.4086  0.01
Tb 0.4192 0.8714 0.6607  0.05
Tb 0.0662 0.1664 0.4165  0.06
Tb 0.9778 0.9879 0.0046  0.06
Tb 0.2799 0.5925 0.0132  0.01
Tb 0.6247 0.2824 0.7606  0.06
Cu 0.8116 0.6559 0.7756  0.00
Cu 0.2325 0.4980 0.6467  0.00
Sn 0.4103 0.8538 0.2899  0.00
Sn 0.6336 0.3005 0.1314  0.00

[12]
First-principles (PBE) data for an optimized crystal structure of TbCuSn2, as listed in Alexandria via LeMat-Bulk.

Computed properties:
The volume is 93.9 Å³/cell. The formation energy comes out at -0.3 eV/f.u.

abc: 3.4081 3.4081 9.5378
angles: 79.71 79.71 60.00
Fractional coordinates of all 4 atoms:
Sn 0.7367 0.7367 0.7900
Sn 0.2633 0.2633 0.2100
Cu 0.0000 0.0000 0.0000
Tb 0.5000 0.5000 0.5000

| no. | magnetization (μB per cell) |
| --- | --- |
| 1 | 0.00 |
| 2 | 1.44 |
| 3 | 0.00 |
| 4 | 0.00 |
| 5 | 0.00 |
| 6 | 0.00 |
| 7 | 0.00 |
| 8 | 0.00 |
| 9 | 0.00 |
| 10 | 0.00 |
| 11 | 0.40 |
| 12 | 0.00 |